1.
15
Lattice="3.927 0.000 0.000 0.000 10.246 0.000 0.000 -5.123 8.873" Properties=species:S:1:pos:R:3 comment="Ce8InRu6 | Alexandria via LeMat-Bulk | PBE-GGA | optimized geometry" delta_e_f_kcal_per_mol_atoms=-6.7 rho_g_cm3=8.57 sg="No. 147" magnetic_moment_mub_per_cell=0.5 e_tot_ev_per_atom=-7.349 pbc="T T T"
Ce 0.922 8.325 2.461
Ce 1.003 0.000 5.916
Ce 3.005 2.031 8.440
Ce 3.005 1.171 2.894
Ce 0.922 3.952 5.979
Ce 0.922 3.092 0.433
Ce 3.005 -3.202 6.412
Ce 2.924 5.123 2.958
Ru 0.989 5.923 0.794
Ru 2.938 2.274 5.526
Ru 2.938 -0.800 8.080
Ru 0.989 2.849 3.347
Ru 0.989 6.597 4.733
Ru 2.938 -1.474 4.141
In 1.964 0.000 0.000

***

2.
4
Lattice="-0.469 -1.947 -3.557 1.680 -3.353 1.614 -9.221 -3.194 2.964" Properties=species:S:1:pos:R:3 comment="Ba2CaMn | Alexandria via LeMat-Bulk | PBE-GGA | optimized geometry" de_polymorph_kj_per_mol_atoms=0.0 delta_e_f_kcal_per_mol_atoms=7.4 rho_g_cm3=3.61 sg="No. 99" magnetic_moment_mub_per_cell=3.5 e_tot_ev_per_atom=-3.434 pbc="T T T"
Ba -1.939 -3.531 -0.154
Ba -8.583 -2.973 2.759
Mn -6.060 -4.959 1.171
Ca -5.260 -1.822 1.691

***

3.
10
Lattice="-0.848 3.887 -0.241 -3.789 -0.766 0.972 2.313 1.119 9.902" Properties=species:S:1:pos:R:3 comment="Nd2Be4AlPt3 | Alexandria via LeMat-Bulk | PBE-GGA | optimized geometry" delta_e_f_kcal_per_mol_atoms=-16.3 rho_g_cm3=9.57 sg="No. 115" magnetic_moment_mub_per_cell=0.0 e_tot_ev_per_atom=-5.338 pbc="T T T"
Be -2.318 1.560 0.365
Be -1.056 0.022 4.074
Be 0.000 0.000 0.000
Be 1.051 2.657 6.194
Pt 1.615 2.930 8.608
Pt 1.157 0.560 4.951
Pt -1.620 -0.250 1.660
Nd -0.150 0.461 7.952
Nd 0.145 2.219 2.316
Al -1.162 2.120 5.316

***

4.
12
Lattice="-4.606 3.439 -3.513 -4.478 -0.532 5.005 7.367 5.010 2.225" Properties=species:S:1:pos:R:3 comment="Cs2H3Cl | Alexandria via LeMat-Bulk | PBE-GGA | optimized geometry" rho_g_cm3=2.91 sg="No. 15" magnetic_moment_mub_per_cell=0.0 e_tot_ev_per_atom=-2.928 pbc="T T T"
Cs 2.938 4.732 1.148
Cs -0.998 6.466 2.016
Cs -4.656 3.184 2.568
Cs -0.720 1.451 1.701
Cl -2.652 1.214 4.501
Cl 0.935 6.702 -0.785
H 0.998 4.747 3.408
H 1.520 5.591 3.751
H 0.474 3.936 2.995
H -2.716 3.169 0.308
H -3.238 2.325 -0.035
H -2.192 3.980 0.721